VASP calculation (PBE) on a relaxed structure of MgNiCl2.

POSCAR file:
```
MgNiCl2
1.0
-2.1320 2.5968 -1.3210
-2.6742 -0.2325 3.8589
2.6484 3.2446 2.1038
Cl Mg Ni
2 1 1
Direct
0.0000 0.9814 0.9816
0.0000 0.5186 0.5184
0.5000 0.2500 0.2500
0.5000 0.7500 0.7500
```

Computed properties:
- size of the total moment (μB/cell) = 0.209
- density (Mg/m³) = 3.21
- energy (eV/f.u.) = -12.8
- relative energy among the computed polymorphs (eV per atom) = 0.3591
- symmetry = No. 10
- raw formation energy (eV per atom) = -0.44